Compound: Tb2ScGa4Pd3
Source: Alexandria
Functional: GGA-PBE
Structure: relaxed

a b c (Å): 4.0240 4.0240 12.0879
angles (deg): 90.00 90.00 90.00
Fractional coordinates of all 10 atoms:
1 Tb 0.0000 0.5000 0.2363
2 Tb 0.5000 0.0000 0.7637
3 Sc 0.0000 0.0000 0.5000
4 Ga 0.0000 0.0000 0.0000
5 Ga 0.0000 0.5000 0.6556
6 Ga 0.5000 0.0000 0.3444
7 Ga 0.5000 0.5000 0.0000
8 Pd 0.0000 0.5000 0.8631
9 Pd 0.5000 0.0000 0.1369
10 Pd 0.5000 0.5000 0.5000

Summary:
The spin magnetization comes out at 0.0 Bohr magnetons per cell. The value obtained for the total energy is -5.070 eV per atom. The value obtained for the calculated formation energy is -742 meV per atom.